VASP calculation (GGA-PBE) on La5Ge4O after structural relaxation.

Lattice parameters (Å, degrees): 6.224 7.384 7.384 79.77 65.07 65.07
Fractional coordinates of all 10 atoms:
La1 0.905 0.365 0.818
La2 0.271 0.818 0.635
La3 0.723 0.182 0.365
La4 0.089 0.635 0.182
La5 0.442 0.000 0.000
Ge1 0.415 0.392 0.785
Ge2 0.807 0.785 0.608
Ge3 0.200 0.215 0.392
Ge4 0.592 0.608 0.215
O1 0.066 0.000 0.000

Calculated values
**Symmetry**: I4 (79)

---

VASP calculation (GGA-PBE) on La2GeO after structural relaxation.

Lattice parameters (Å, degrees): 4.005 4.005 7.091 73.60 73.60 60.00
Fractional coordinates of all 4 atoms:
Ge1 0.000 0.000 0.000
O1 0.500 0.500 0.500
La1 0.763 0.763 0.712
La2 0.237 0.237 0.288

Calculated values
**Distance to the lowest polymorph of the same formula**: 183.3 meV/atom
**Symmetry**: R-3m (166)

---

VASP calculation (GGA-PBE) on LaGeO4 after structural relaxation.

Lattice parameters (Å, degrees): 5.275 5.546 6.200 111.63 115.18 90.00
Fractional coordinates of all 12 atoms:
La1 0.217 0.750 0.000
La2 0.783 0.250 0.000
Ge1 0.500 0.500 0.500
Ge2 0.000 0.000 0.500
O1 0.225 0.183 0.362
O2 0.136 0.683 0.362
O3 0.708 0.939 0.180
O4 0.472 0.439 0.180
O5 0.292 0.061 0.820
O6 0.528 0.561 0.820
O7 0.775 0.817 0.638
O8 0.864 0.317 0.638

Calculated values
**Symmetry**: C2/c (15)

---

VASP calculation (GGA-PBE) on LaGeO3 after structural relaxation.

Lattice parameters (Å, degrees): 6.560 3.979 11.314 90.00 101.11 90.00
Fractional coordinates of all 20 atoms:
La1 0.968 0.766 0.160
La2 0.532 0.266 0.340
La3 0.032 0.234 0.840
La4 0.468 0.734 0.660
Ge1 0.400 0.605 0.072
Ge2 0.100 0.105 0.428
Ge3 0.600 0.395 0.928
Ge4 0.900 0.895 0.572
O1 0.091 0.712 0.691
O2 0.409 0.212 0.809
O3 0.909 0.288 0.309
O4 0.591 0.788 0.191
O5 0.768 0.161 0.661
O6 0.732 0.661 0.839
O7 0.232 0.839 0.339
O8 0.268 0.339 0.161
O9 0.670 0.721 0.480
O10 0.830 0.221 0.020
O11 0.330 0.279 0.520
O12 0.170 0.779 0.980

Calculated values
**Symmetry**: P2_1/c (14)

---

VASP calculation (GGA-PBE) on LaGe4O2 after structural relaxation.

Lattice parameters (Å, degrees): 5.626 5.626 8.957 71.70 71.70 90.00
Fractional coordinates of all 7 atoms:
Ge1 0.810 0.810 0.381
Ge2 0.190 0.190 0.619
Ge3 0.000 0.500 0.000
Ge4 0.500 0.000 0.000
O1 0.707 0.707 0.586
O2 0.293 0.293 0.414
La1 0.000 0.000 0.000

Calculated values
**Symmetry**: I4/mmm (139)

---

VASP calculation (GGA-PBE) on LaGe2O6 after structural relaxation.

Lattice parameters (Å, degrees): 5.758 7.598 7.598 81.90 80.07 80.07
Fractional coordinates of all 18 atoms:
La1 0.250 0.131 0.869
La2 0.750 0.869 0.131
Ge1 0.191 0.660 0.798
Ge2 0.309 0.202 0.340
Ge3 0.809 0.340 0.202
Ge4 0.691 0.798 0.660
O1 0.488 0.640 0.679
O2 0.012 0.321 0.360
O3 0.512 0.360 0.321
O4 0.988 0.679 0.640
O5 0.686 0.927 0.446
O6 0.814 0.554 0.073
O7 0.314 0.073 0.554
O8 0.186 0.446 0.927
O9 0.121 0.840 0.931
O10 0.379 0.069 0.160
O11 0.879 0.160 0.069
O12 0.621 0.931 0.840

Calculated values
**Symmetry**: C2/c (15)

---

VASP calculation (GGA-PBE) on LaGeP2O after structural relaxation.

Lattice parameters (Å, degrees): 5.703 5.703 4.198 90.00 90.00 90.00
Fractional coordinates of all 5 atoms:
P1 0.000 0.500 0.000
P2 0.500 0.000 0.000
Ge1 0.500 0.500 0.500
O1 0.000 0.000 0.500
La1 0.000 0.000 0.000

Calculated values
**Distance to the lowest polymorph of the same formula**: 733.8 meV/atom
**Symmetry**: P4/mmm (123)

---

VASP calculation (GGA-PBE) on LaGePO2 after structural relaxation.

Lattice parameters (Å, degrees): 4.074 4.074 4.670 90.00 90.00 90.00
Fractional coordinates of all 5 atoms:
P1 0.000 0.000 0.500
Ge1 0.000 0.000 0.000
O1 0.000 0.500 0.000
O2 0.500 0.000 0.000
La1 0.500 0.500 0.500

Calculated values
**Distance to the lowest polymorph of the same formula**: 0.0 meV/atom
**Symmetry**: P4/mmm (123)

---

VASP calculation (GGA-PBE) on LaGeP2O after structural relaxation.

Lattice parameters (Å, degrees): 4.860 4.860 3.955 90.00 90.00 90.00
Fractional coordinates of all 5 atoms:
P1 0.000 0.500 0.000
P2 0.500 0.000 0.000
Ge1 0.000 0.000 0.000
O1 0.000 0.000 0.500
La1 0.500 0.500 0.500

Calculated values
**Distance to the lowest polymorph of the same formula**: 0.0 meV/atom
**Symmetry**: P4/mmm (123)

---

VASP calculation (GGA-PBE) on LaGePO2 after structural relaxation.

Lattice parameters (Å, degrees): 4.215 4.215 6.477 90.00 90.00 90.00
Fractional coordinates of all 5 atoms:
P1 0.000 0.000 0.500
Ge1 0.500 0.500 0.500
O1 0.000 0.500 0.000
O2 0.500 0.000 0.000
La1 0.000 0.000 0.000

Calculated values
**Distance to the lowest polymorph of the same formula**: 620.9 meV/atom
**Symmetry**: P4/mmm (123)

---

VASP calculation (GGA-PBE) on LaPaGe2O8 after structural relaxation.

Lattice parameters (Å, degrees): 6.077 6.077 6.077 106.75 106.75 115.07
Fractional coordinates of all 12 atoms:
La1 0.000 0.000 0.000
Pa1 0.250 0.750 0.500
Ge1 0.750 0.250 0.500
Ge2 0.500 0.500 0.000
O1 0.386 0.060 0.326
O2 0.330 0.522 0.193
O3 0.330 0.137 0.807
O4 0.734 0.060 0.674
O5 0.863 0.670 0.193
O6 0.940 0.266 0.326
O7 0.940 0.614 0.674
O8 0.478 0.670 0.807

Calculated values
**Symmetry**: I-4m2 (119)

---

VASP calculation (GGA-PBE) on La2PaGeO8 after structural relaxation.

Lattice parameters (Å, degrees): 4.291 5.471 7.090 90.13 89.96 95.63
Fractional coordinates of all 12 atoms:
La1 0.499 0.500 0.761
La2 0.501 0.500 0.239
Pa1 0.000 0.000 0.500
Ge1 0.000 0.000 0.000
O1 0.061 0.772 0.232
O2 0.612 0.834 0.001
O3 0.939 0.227 0.230
O4 0.939 0.228 0.768
O5 0.388 0.166 0.999
O6 0.061 0.773 0.770
O7 0.568 0.765 0.500
O8 0.432 0.235 0.500

Calculated values
**Symmetry**: P-1 (2)

---

VASP calculation (GGA-PBE) on LaPmGeO5 after structural relaxation.

Lattice parameters (Å, degrees): 6.043 6.043 7.791 101.54 101.54 107.79
Fractional coordinates of all 16 atoms:
La1 0.338 0.662 0.250
La2 0.662 0.338 0.750
Pm1 0.000 0.000 0.500
Pm2 0.000 0.000 0.000
Ge1 0.678 0.322 0.250
Ge2 0.322 0.678 0.750
O1 0.114 0.886 0.250
O2 0.886 0.114 0.750
O3 0.916 0.341 0.143
O4 0.084 0.659 0.857
O5 0.659 0.084 0.357
O6 0.341 0.916 0.643
O7 0.719 0.592 0.418
O8 0.281 0.408 0.582
O9 0.408 0.281 0.082
O10 0.592 0.719 0.918

Calculated values
**Symmetry**: C2/c (15)

---

VASP calculation (GGA-PBE) on LaPmGe2O8 after structural relaxation.

Lattice parameters (Å, degrees): 5.232 5.232 6.956 112.09 112.09 90.00
Fractional coordinates of all 12 atoms:
La1 0.750 0.250 0.500
Pm1 0.000 0.000 0.000
Ge1 0.500 0.500 0.000
Ge2 0.250 0.750 0.500
O1 0.724 0.831 0.156
O2 0.432 0.325 0.156
O3 0.585 0.695 0.662
O4 0.077 0.967 0.662
O5 0.033 0.415 0.338
O6 0.305 0.923 0.338
O7 0.169 0.568 0.844
O8 0.675 0.276 0.844

Calculated values
**Symmetry**: I-4 (82)

---

VASP calculation (GGA-PBE) on LaPmGeO after structural relaxation.

Lattice parameters (Å, degrees): 4.608 4.608 8.908 90.00 90.00 90.00
Fractional coordinates of all 8 atoms:
La1 0.000 0.000 0.500
La2 0.500 0.500 0.500
Pm1 0.500 0.000 0.853
Pm2 0.000 0.500 0.147
Ge1 0.000 0.500 0.799
Ge2 0.500 0.000 0.201
O1 0.000 0.500 0.407
O2 0.500 0.000 0.593

Calculated values
**Symmetry**: P4/nmm (129)

---

VASP calculation (GGA-PBE) on La2Pm4Ge3O2 after structural relaxation.

Lattice parameters (Å, degrees): 4.723 4.723 12.852 100.59 100.59 90.00
Fractional coordinates of all 11 atoms:
La1 0.303 0.303 0.607
La2 0.697 0.697 0.393
Pm1 0.421 0.921 0.843
Pm2 0.921 0.421 0.843
Pm3 0.079 0.579 0.157
Pm4 0.579 0.079 0.157
Ge1 0.000 0.000 0.000
Ge2 0.173 0.173 0.346
Ge3 0.827 0.827 0.654
O1 0.400 0.400 0.801
O2 0.600 0.600 0.199

Calculated values
**Symmetry**: I4/mmm (139)

---

VASP calculation (GGA-PBE) on La2Pr4Ge3O2 after structural relaxation.

Lattice parameters (Å, degrees): 4.795 4.795 12.952 100.67 100.67 90.00
Fractional coordinates of all 11 atoms:
La1 0.302 0.302 0.605
La2 0.698 0.698 0.395
Pr1 0.421 0.921 0.842
Pr2 0.921 0.421 0.842
Pr3 0.079 0.579 0.158
Pr4 0.579 0.079 0.158
Ge1 0.000 0.000 0.000
Ge2 0.174 0.174 0.348
Ge3 0.826 0.826 0.652
O1 0.397 0.397 0.794
O2 0.603 0.603 0.206

Calculated values
**Symmetry**: I4/mmm (139)

---

VASP calculation (GGA-PBE) on La4Pr2Ge3O2 after structural relaxation.

Lattice parameters (Å, degrees): 4.800 4.800 13.007 100.63 100.63 90.00
Fractional coordinates of all 11 atoms:
La1 0.419 0.919 0.838
La2 0.919 0.419 0.838
La3 0.081 0.581 0.162
La4 0.581 0.081 0.162
Pr1 0.299 0.299 0.598
Pr2 0.701 0.701 0.402
Ge1 0.000 0.000 0.000
Ge2 0.176 0.176 0.352
Ge3 0.824 0.824 0.648
O1 0.396 0.396 0.793
O2 0.604 0.604 0.207

Calculated values
**Symmetry**: I4/mmm (139)

---

VASP calculation (GGA-PBE) on LaPuGe2O8 after structural relaxation.

Lattice parameters (Å, degrees): 6.063 6.063 6.063 106.81 106.81 114.93
Fractional coordinates of all 12 atoms:
La1 0.000 0.000 0.000
Pu1 0.250 0.750 0.500
Ge1 0.750 0.250 0.500
Ge2 0.500 0.500 0.000
O1 0.385 0.060 0.325
O2 0.329 0.522 0.193
O3 0.329 0.136 0.807
O4 0.734 0.060 0.675
O5 0.864 0.671 0.193
O6 0.940 0.266 0.325
O7 0.940 0.615 0.675
O8 0.478 0.671 0.807

Calculated values
**Symmetry**: I-4m2 (119)

---

VASP calculation (GGA-PBE) on Rb2LaGeO4 after structural relaxation.

Lattice parameters (Å, degrees): 6.191 6.191 6.191 97.37 115.84 115.84
Fractional coordinates of all 8 atoms:
Rb1 0.500 0.750 0.250
Rb2 0.000 0.000 0.000
La1 0.500 0.250 0.750
Ge1 0.000 0.500 0.500
O1 0.702 0.435 0.529
O2 0.094 0.268 0.565
O3 0.906 0.471 0.174
O4 0.298 0.826 0.732

Calculated values
**Symmetry**: I-4 (82)

---

| no. | raw total energy (eV for the cell shown) | raw formation energy (eV per atom) |
| --- | --- | --- |
| 1 | -58.85 | -1.08 |
| 2 | -26.11 | -1.67 |
| 3 | -83.66 | -2.08 |
| 4 | -147.56 | -2.49 |
| 5 | -32.19 | 0.16 |
| 6 | -123.11 | -1.96 |
| 7 | -24.73 | 0.12 |
| 8 | -31.60 | -1.35 |
| 9 | -28.39 | -0.61 |
| 10 | -28.50 | -0.73 |
| 11 | -95.01 | -2.64 |
| 12 | -96.37 | -2.73 |
| 13 | -122.85 | -2.79 |
| 14 | -85.13 | -2.21 |
| 15 | -52.98 | -1.81 |
| 16 | -69.55 | -1.54 |
| 17 | -69.17 | -1.49 |
| 18 | -69.47 | -1.49 |
| 19 | -95.77 | -2.30 |
| 20 | -46.80 | -1.94 |